(1)
# CsTcIr3

A relaxed structure of CsTcIr3 (PBE, the Alexandria database).

Output
- formation energy (eV per atom) = 1.456
- relative energy among the computed polymorphs (meV per atom) = 0

```
CsTcIr3
1.0
4.868 0.000 0.000
0.000 4.868 0.000
0.000 0.000 4.868
Cs Tc Ir
1 1 3
direct
0.000 0.000 0.000
0.500 0.500 0.500
0.000 0.500 0.500
0.500 0.000 0.500
0.500 0.500 0.000
```



(2)
# CsTc2Ir

A relaxed structure of CsTc2Ir (PBE, the Alexandria database).

Output
- formation energy (eV per atom) = 1.651

```
CsTc2Ir
1.0
-3.744 3.744 3.362
3.744 -3.744 3.362
3.744 3.744 -3.362
Cs Tc Ir
2 4 2
direct
0.000 0.000 0.000
0.750 0.250 0.500
0.203 0.625 0.078
0.375 0.453 0.578
0.547 0.125 0.922
0.875 0.797 0.422
0.250 0.750 0.500
0.500 0.500 0.000
```



(3)
# Cs2YTcIr

A relaxed structure of Cs2YTcIr (PBE, the Alexandria database).

Output
- formation energy (eV per atom) = 1.470

```
Cs2YTcIr
1.0
5.758 0.000 0.000
0.000 5.758 0.000
0.000 0.000 4.851
Cs Y Tc Ir
2 1 1 1
direct
0.000 0.500 0.000
0.500 0.000 0.000
0.000 0.000 0.500
0.500 0.500 0.000
0.500 0.500 0.500
```



(4)
# CsTe2Ir

A relaxed structure of CsTe2Ir (PBE, the Alexandria database).

Output
- formation energy from raw total energies (meV per atom) = -500

```
CsTe2Ir
1.0
2.097 1.211 8.279
-2.097 1.211 8.279
0.000 -2.422 8.279
Cs Te Ir
1 2 1
direct
0.000 0.000 0.000
0.552 0.552 0.552
0.784 0.784 0.784
0.168 0.168 0.168
```



(5)
# CsTeIr

A relaxed structure of CsTeIr (PBE, the Alexandria database).

Output
- formation energy from raw total energies (meV per atom) = -200
- relative energy among the computed polymorphs (meV per atom) = 0

```
CsTeIr
1.0
4.627 0.000 0.000
-0.869 4.545 0.000
-0.249 -0.449 11.507
Cs Te Ir
2 2 2
direct
0.231 0.240 0.289
0.769 0.760 0.711
0.291 0.288 0.894
0.709 0.712 0.106
0.214 0.786 0.000
0.786 0.214 0.000
```



(6)
# CsTeIr

A relaxed structure of CsTeIr (PBE, the Alexandria database).

Output
- formation energy from raw total energies (meV per atom) = -148
- relative energy among the computed polymorphs (meV per atom) = 53

```
CsTeIr
1.0
3.970 0.000 0.000
0.000 6.091 0.000
-1.977 0.000 7.425
Cs Te Ir
2 2 2
direct
0.189 0.250 0.376
0.811 0.750 0.624
0.069 0.750 0.139
0.931 0.250 0.861
0.500 0.000 0.000
0.500 0.500 0.000
```